1.
Computed, not measured: a relaxed structure of LiYPuAu at the GGA-PBE level of DFT.

Lattice parameters (Å, degrees): 5.134 5.134 5.134 60.00 60.00 60.00
Fractional positions:
1 Y 0.500 0.500 0.500
2 Li 0.250 0.250 0.250
3 Au 0.750 0.750 0.750
4 Pu 0.000 0.000 0.000

Output
As for the crystal system: cubic. The calculation puts the energy relative to the elements at -0.172 eV per atom. Its symmetry is F-43m, No. 216.


2.
Computed, not measured: a relaxed structure of LiY2PuAu4 at the GGA-PBE level of DFT.

Lattice parameters (Å, degrees): 5.029 5.029 8.660 73.12 73.12 60.00
Fractional positions:
1 Li 0.500 0.500 0.500
2 Y 0.755 0.755 0.735
3 Y 0.245 0.245 0.265
4 Pu 0.000 0.000 0.000
5 Au 0.379 0.379 0.862
6 Au 0.876 0.876 0.371
7 Au 0.124 0.124 0.629
8 Au 0.621 0.621 0.138

Output
As for the crystal system: trigonal. The calculation puts the energy relative to the elements at -0.645 eV per atom. Its symmetry is R-3m, No. 166.


3.
Computed, not measured: a relaxed structure of LiPu2Zn3Au12 at the GGA-PBE level of DFT.

Lattice parameters (Å, degrees): 10.105 10.105 10.105 39.94 39.94 39.94
Fractional positions:
1 Li 0.000 0.000 0.000
2 Pu 0.644 0.644 0.644
3 Pu 0.356 0.356 0.356
4 Zn 0.500 0.000 0.000
5 Zn 0.000 0.500 0.000
6 Zn 0.000 0.000 0.500
7 Au 0.410 0.410 0.819
8 Au 0.892 0.892 0.386
9 Au 0.386 0.892 0.892
10 Au 0.819 0.410 0.410
11 Au 0.892 0.386 0.892
12 Au 0.410 0.819 0.410
13 Au 0.590 0.590 0.181
14 Au 0.108 0.108 0.614
15 Au 0.614 0.108 0.108
16 Au 0.181 0.590 0.590
17 Au 0.108 0.614 0.108
18 Au 0.590 0.181 0.590

Output
As for the crystal system: trigonal. The calculation puts the energy relative to the elements at -0.087 eV per atom. Its symmetry is R-3m, No. 166.


4.
Computed, not measured: a relaxed structure of Li2PuZnAu4 at the GGA-PBE level of DFT.

Lattice parameters (Å, degrees): 4.491 4.491 8.958 75.48 75.48 60.00
Fractional positions:
1 Li 0.764 0.764 0.709
2 Li 0.236 0.236 0.291
3 Pu 0.000 0.000 0.000
4 Zn 0.500 0.500 0.500
5 Au 0.397 0.397 0.810
6 Au 0.872 0.872 0.384
7 Au 0.128 0.128 0.616
8 Au 0.603 0.603 0.190

Output
As for the crystal system: trigonal. The calculation puts the energy relative to the elements at -0.410 eV per atom. Its symmetry is R-3m, No. 166.


5.
Computed, not measured: a relaxed structure of RbLi2Au2 at the GGA-PBE level of DFT.

Lattice parameters (Å, degrees): 4.591 4.591 6.673 69.88 69.88 90.00
Fractional positions:
1 Au 0.376 0.376 0.249
2 Au 0.624 0.624 0.751
3 Rb 0.000 0.000 0.000
4 Li 0.750 0.250 0.500
5 Li 0.250 0.750 0.500

Output
As for the crystal system: tetragonal. For the excess energy over the best structure of this formula in the dataset, the calculation gives 0.000 eV per atom. The calculation puts the energy relative to the elements at -0.352 eV per atom. Its symmetry is I4/mmm, No. 139.


6.
Computed, not measured: a relaxed structure of RbLiAu2 at the GGA-PBE level of DFT.

Lattice parameters (Å, degrees): 4.641 4.641 6.730 69.83 69.83 60.00
Fractional positions:
1 Au 0.306 0.306 0.081
2 Au 0.694 0.694 0.919
3 Rb 0.500 0.500 0.500
4 Li 0.000 0.000 0.000

Output
As for the crystal system: trigonal. For the excess energy over the best structure of this formula in the dataset, the calculation gives 0.000 eV per atom. The calculation puts the energy relative to the elements at -0.375 eV per atom. Its symmetry is R-3m, No. 166.


7.
Computed, not measured: a relaxed structure of RbLi2Au2 at the GGA-PBE level of DFT.

Lattice parameters (Å, degrees): 8.395 8.395 3.081 90.00 90.00 90.00
Fractional positions:
1 Au 0.161 0.661 0.500
2 Au 0.661 0.839 0.500
3 Au 0.839 0.339 0.500
4 Au 0.339 0.161 0.500
5 Rb 0.000 0.000 0.000
6 Rb 0.500 0.500 0.000
7 Li 0.381 0.881 0.000
8 Li 0.881 0.619 0.000
9 Li 0.619 0.119 0.000
10 Li 0.119 0.381 0.000

Output
As for the crystal system: tetragonal. For the excess energy over the best structure of this formula in the dataset, the calculation gives 0.038 eV per atom. The calculation puts the energy relative to the elements at -0.313 eV per atom. Its symmetry is P4/mbm, No. 127.


8.
Computed, not measured: a relaxed structure of Rb2LiAu2 at the GGA-PBE level of DFT.

Lattice parameters (Å, degrees): 9.746 9.746 3.828 90.00 90.00 90.00
Fractional positions:
1 Au 0.164 0.664 0.500
2 Au 0.664 0.836 0.500
3 Au 0.836 0.336 0.500
4 Au 0.336 0.164 0.500
5 Rb 0.364 0.864 0.000
6 Rb 0.864 0.636 0.000
7 Rb 0.636 0.136 0.000
8 Rb 0.136 0.364 0.000
9 Li 0.000 0.000 0.000
10 Li 0.500 0.500 0.000

Output
As for the crystal system: tetragonal. For the excess energy over the best structure of this formula in the dataset, the calculation gives 0.259 eV per atom. The calculation puts the energy relative to the elements at -0.019 eV per atom. Its symmetry is P4/mbm, No. 127.